1.
Density functional theory data (PBE) for SmHoSnRh after structural relaxation.

abc: 5.1443 5.1443 5.1443
angles: 60.00 60.00 60.00
Fractional coordinates of all 4 atoms:
1 Sm 0.0000 0.0000 0.0000
2 Ho 0.5000 0.5000 0.5000
3 Sn 0.2500 0.2500 0.2500
4 Rh 0.7500 0.7500 0.7500

Summary:
For the theoretical density, the calculation gives 9.3 Mg/m³. For the density of states at the Fermi level, the calculation gives 2.57 states/eV per cell. As for the formation energy: -60 kJ/mol of atoms. The total DFT energy (no corrections) comes out at -5.787 eV/atom.

---

2.
Density functional theory data (PBE) for Sm2HoSn3Rh4 after structural relaxation.

abc: 4.3839 4.3839 11.4812
angles: 90.00 90.00 90.00
Fractional coordinates of all 10 atoms:
1 Sm 0.0000 0.5000 0.2308
2 Sm 0.5000 0.0000 0.7692
3 Ho 0.0000 0.0000 0.5000
4 Sn 0.0000 0.5000 0.8729
5 Sn 0.5000 0.0000 0.1271
6 Sn 0.5000 0.5000 0.5000
7 Rh 0.0000 0.0000 0.0000
8 Rh 0.0000 0.5000 0.6470
9 Rh 0.5000 0.0000 0.3530
10 Rh 0.5000 0.5000 0.0000

Summary:
For the theoretical density, the calculation gives 9.3 Mg/m³. For the density of states at the Fermi level, the calculation gives 7.43 states/eV per cell. As for the formation energy: -72 kJ/mol of atoms. The total DFT energy (no corrections) comes out at -6.285 eV/atom.